(i)
The following is a DFT calculation (meta-GGA SCAN) of InAsPb2 at its PBEsol-relaxed geometry.

density	8.97	g cm⁻³
crystal system	trigonal
size of the total moment	0.00	μB/f.u.

The structure in CIF format:
```
data_InAsPb2
_chemical_formula_sum 'In1 As1 Pb2'
_cell_length_a 8.2987
_cell_length_b 8.2987
_cell_length_c 8.2987
_cell_angle_alpha 28.08
_cell_angle_beta 28.08
_cell_angle_gamma 28.08
_space_group_name_H-M_alt 'P 1'
_space_group_IT_number 1
_space_group_name_Hall 'P 1'
loop_
_atom_site_label
_atom_site_type_symbol
_atom_site_fract_x
_atom_site_fract_y
_atom_site_fract_z
In1 In 0.0000 0.0000 0.0000
As1 As 0.5000 0.5000 0.5000
Pb1 Pb 0.2395 0.2395 0.2395
Pb2 Pb 0.7605 0.7605 0.7605
```



(ii)
The following is a DFT calculation (meta-GGA SCAN) of InAsPb2 at its PBEsol-relaxed geometry.

density	9.60	g cm⁻³
crystal system	monoclinic
size of the total moment	0.00	μB/f.u.

The structure in CIF format:
```
data_InAsPb2
_chemical_formula_sum 'In1 As1 Pb2'
_cell_length_a 3.7809
_cell_length_b 3.7699
_cell_length_c 7.3343
_cell_angle_alpha 90.00
_cell_angle_beta 90.16
_cell_angle_gamma 90.00
_space_group_name_H-M_alt 'P 1'
_space_group_IT_number 1
_space_group_name_Hall 'P 1'
loop_
_atom_site_label
_atom_site_type_symbol
_atom_site_fract_x
_atom_site_fract_y
_atom_site_fract_z
In1 In 0.0000 0.0000 0.0000
As1 As 0.0000 0.0000 0.5000
Pb1 Pb 0.4999 0.5000 0.2804
Pb2 Pb 0.5001 0.5000 0.7196
```



The structure with the most favorable energy is (i); the runner-up is 68 meV per atom above it.



(i)
The following is a DFT calculation (meta-GGA SCAN) of In2SbAs at its PBEsol-relaxed geometry.

density	5.66	g cm⁻³
crystal system	trigonal
size of the total moment	0.00	μB/f.u.

The structure in CIF format:
```
data_In2SbAs
_chemical_formula_sum 'In2 Sb1 As1'
_cell_length_a 7.7236
_cell_length_b 7.7236
_cell_length_c 7.7236
_cell_angle_alpha 33.51
_cell_angle_beta 33.51
_cell_angle_gamma 33.51
_space_group_name_H-M_alt 'P 1'
_space_group_IT_number 1
_space_group_name_Hall 'P 1'
loop_
_atom_site_label
_atom_site_type_symbol
_atom_site_fract_x
_atom_site_fract_y
_atom_site_fract_z
In1 In 0.0000 0.0000 0.0000
In2 In 0.4904 0.4904 0.4904
Sb1 Sb 0.6194 0.6194 0.6194
As1 As 0.1205 0.1205 0.1205
```



(ii)
The following is a DFT calculation (meta-GGA SCAN) of In2SbAs at its PBEsol-relaxed geometry.

density	7.51	g cm⁻³
crystal system	tetragonal
size of the total moment	0.00	μB/f.u.

The structure in CIF format:
```
data_In2SbAs
_chemical_formula_sum 'In2 Sb1 As1'
_cell_length_a 3.6209
_cell_length_b 3.6209
_cell_length_c 7.1907
_cell_angle_alpha 90.00
_cell_angle_beta 90.00
_cell_angle_gamma 90.00
_space_group_name_H-M_alt 'P 1'
_space_group_IT_number 1
_space_group_name_Hall 'P 1'
loop_
_atom_site_label
_atom_site_type_symbol
_atom_site_fract_x
_atom_site_fract_y
_atom_site_fract_z
In1 In 0.0000 0.0000 0.2251
In2 In 0.0000 0.0000 0.7749
Sb1 Sb 0.5000 0.5000 0.5000
As1 As 0.5000 0.5000 0.0000
```



The structure with the most favorable energy is (i); the runner-up is 389 meV per atom above it.